(1)
Below is a PBEsol-optimized structure of YAgAu, with properties calculated at the SCAN level.

## Properties
Energy   -43.47 eV/atom
Density   10473 kg/m3
Magnetization   0.000 μB per atom
Calculated formation energy   -0.68 eV/atom
Energy above the most stable polymorph in this dataset   88.8 meV/atom
Crystal system   hexagonal

Lattice parameters (Å, degrees): 4.6488 4.6488 3.3355 90.00 90.00 120.00
With the nearest neighbours (Å) after each atom.
Space group P-6m2 (No. 187)
One atom of each set of equivalent atoms:
Y 0.0000 0.0000 0.0000 (multiplicity 1)  6 Ag 3.16, 6 Au 3.16, 2 Y 3.34
Ag 0.6667 0.3333 0.5000 (multiplicity 1)  3 Au 2.68
Au 0.3333 0.6667 0.5000 (multiplicity 1)  3 Ag 2.68

=====

(2)
Below is a PBEsol-optimized structure of ZnAgAu, with properties calculated at the SCAN level.

## Properties
Energy   -38.15 eV/atom
Density   13073 kg/m3
Magnetization   0.000 μB per atom
Calculated formation energy   -0.13 eV/atom
Energy above the most stable polymorph in this dataset   9.6 meV/atom
Crystal system   tetragonal

Lattice parameters (Å, degrees): 2.9377 2.9377 10.8985 90.00 90.00 90.00
With the nearest neighbours (Å) after each atom.
Space group I4mm (No. 107)
One atom of each set of equivalent atoms:
Zn 0.0000 0.0000 0.0000 (multiplicity 2)  4 Au 2.68, 4 Ag 2.71, 4 Zn 2.94
Ag 0.0000 0.0000 0.6597 (multiplicity 2)  4 Zn 2.71, 4 Au 2.89, 4 Ag 2.94
Au 0.0000 0.0000 0.3445 (multiplicity 2)  4 Zn 2.68, 4 Ag 2.89, 4 Au 2.94

=====

(3)
Below is a PBEsol-optimized structure of ZnAgAu, with properties calculated at the SCAN level.

## Properties
Energy   -38.16 eV/atom
Density   13042 kg/m3
Magnetization   0.000 μB per atom
Calculated formation energy   -0.14 eV/atom
Energy above the most stable polymorph in this dataset   0.0 meV/atom
Crystal system   orthorhombic

Lattice parameters (Å, degrees): 2.9375 3.4465 9.3125 90.00 90.00 90.00
With the nearest neighbours (Å) after each atom.
Space group Imm2 (No. 44)
One atom of each set of equivalent atoms:
Zn 0.0000 0.0000 0.0000 (multiplicity 2)  4 Au 2.67, 4 Ag 2.71, 2 Zn 2.94
Ag 0.0000 0.0000 0.6599 (multiplicity 2)  4 Zn 2.71, 5 Au 2.86-2.91, 2 Ag 2.94
Au 0.0000 0.0000 0.3474 (multiplicity 2)  4 Zn 2.67, 5 Ag 2.86-2.91, 2 Au 2.94

=====

(4)
Below is a PBEsol-optimized structure of ZnAgAu, with properties calculated at the SCAN level.

## Properties
Energy   -38.09 eV/atom
Density   12893 kg/m3
Magnetization   0.000 μB per atom
Calculated formation energy   -0.08 eV/atom
Energy above the most stable polymorph in this dataset   61.2 meV/atom
Crystal system   trigonal

Lattice parameters (Å, degrees): 2.8902 2.8902 6.5918 90.00 90.00 120.00
With the nearest neighbours (Å) after each atom.
Space group P3m1 (No. 156)
One atom of each set of equivalent atoms:
Zn 0.0000 0.0000 0.0000 (multiplicity 1)  3 Ag 2.69, 3 Au 2.69, 6 Zn 2.89
Ag 0.3333 0.6667 0.6799 (multiplicity 1)  3 Zn 2.69, 6 Ag 2.89, 3 Au 2.90
Au 0.6667 0.3333 0.3208 (multiplicity 1)  3 Zn 2.69, 6 Au 2.89, 3 Ag 2.90

=====

(5)
Below is a PBEsol-optimized structure of Zn4AgAu, with properties calculated at the SCAN level.

## Properties
Energy   -25.86 eV/atom
Density   10776 kg/m3
Magnetization   0.000 μB per atom
Calculated formation energy   -0.10 eV/atom
Crystal system   cubic

Lattice parameters (Å, degrees): 7.0418 7.0418 7.0418 90.00 90.00 90.00
With the nearest neighbours (Å) after each atom.
Space group F-43m (No. 216)
One atom of each set of equivalent atoms:
Zn 0.1250 0.1250 0.1250 (multiplicity 16)  6 Zn 2.49
Ag 0.0000 0.0000 0.5000 (multiplicity 4)  12 Zn 2.92, 4 Au 3.05
Au 0.2500 0.2500 0.7500 (multiplicity 4)  12 Zn 2.92, 4 Ag 3.05

=====

(6)
Below is a PBEsol-optimized structure of BaAgB3, with properties calculated at the SCAN level.

## Properties
Energy   -15.63 eV/atom
Density   3974 kg/m3
Magnetization   0.000 μB per atom
Calculated formation energy   3.01 eV/atom
Crystal system   cubic

Lattice parameters (Å, degrees): 4.8771 4.8771 4.8771 90.00 90.00 90.00
With the nearest neighbours (Å) after each atom.
Space group Pm-3m (No. 221)
One atom of each set of equivalent atoms:
Ba 0.0000 0.0000 0.0000 (multiplicity 1)  6 B 2.44
Ag 0.5000 0.5000 0.5000 (multiplicity 1)  12 B 3.45
B 0.0000 0.0000 0.5000 (multiplicity 3)  2 Ba 2.44

=====

(7)
Below is a PBEsol-optimized structure of BaCaAgB2, with properties calculated at the SCAN level.

## Properties
Energy   -16.92 eV/atom
Density   3674 kg/m3
Magnetization   0.000 μB per atom
Calculated formation energy   2.17 eV/atom
Crystal system   tetragonal

Lattice parameters (Å, degrees): 4.8256 4.8256 5.9568 90.00 90.00 90.00
With the nearest neighbours (Å) after each atom.
Space group P4/mmm (No. 123)
One atom of each set of equivalent atoms:
Ba 0.0000 0.0000 0.0000 (multiplicity 1)  4 B 2.41
Ca 0.0000 0.0000 0.5000 (multiplicity 1)  2 Ba 2.98
Ag 0.5000 0.5000 0.5000 (multiplicity 1)  4 Ca 3.41
B 0.0000 0.5000 0.0000 (multiplicity 2)  2 Ba 2.41

=====

(8)
Below is a PBEsol-optimized structure of BaAg2BN, with properties calculated at the SCAN level.

## Properties
Energy   -21.28 eV/atom
Density   3041 kg/m3
Magnetization   0.802 μB per atom
Crystal system   tetragonal

Lattice parameters (Å, degrees): 6.1626 6.1626 5.4338 90.00 90.00 90.00
With the nearest neighbours (Å) after each atom.
Space group P4/mmm (No. 123)
One atom of each set of equivalent atoms:
Ba 0.0000 0.0000 0.0000 (multiplicity 1)  2 B 2.72
Ag 0.0000 0.5000 0.0000 (multiplicity 2)  2 Ba 3.08
B 0.0000 0.0000 0.5000 (multiplicity 1)  2 Ba 2.72
N 0.5000 0.5000 0.5000 (multiplicity 1)  8 Ag 4.11, 4 B 4.36

=====

(9)
Below is a PBEsol-optimized structure of BaRe2AgB, with properties calculated at the SCAN level.

## Properties
Energy   -43.13 eV/atom
Density   11775 kg/m3
Magnetization   0.000 μB per atom
Calculated formation energy   0.97 eV/atom
Crystal system   tetragonal

Lattice parameters (Å, degrees): 4.2921 4.2921 4.8106 90.00 90.00 90.00
With the nearest neighbours (Å) after each atom.
Space group P4/mmm (No. 123)
One atom of each set of equivalent atoms:
Ba 0.0000 0.0000 0.0000 (multiplicity 1)  4 Ag 3.03, 8 Re 3.22
Re 0.0000 0.5000 0.5000 (multiplicity 2)  2 B 2.15
Ag 0.5000 0.5000 0.0000 (multiplicity 1)  2 B 2.41
B 0.5000 0.5000 0.5000 (multiplicity 1)  4 Re 2.15

=====

(10)
Below is a PBEsol-optimized structure of BaSc2AgB, with properties calculated at the SCAN level.

## Properties
Energy   -21.10 eV/atom
Density   5271 kg/m3
Magnetization   0.156 μB per atom
Calculated formation energy   0.27 eV/atom
Crystal system   tetragonal

Lattice parameters (Å, degrees): 4.8584 4.8584 4.6165 90.00 90.00 90.00
With the nearest neighbours (Å) after each atom.
Space group P4/mmm (No. 123)
One atom of each set of equivalent atoms:
Ba 0.0000 0.0000 0.0000 (multiplicity 1)  8 Sc 3.35, 4 Ag 3.44
Sc 0.0000 0.5000 0.5000 (multiplicity 2)  2 B 2.43
Ag 0.5000 0.5000 0.0000 (multiplicity 1)  2 B 2.31
B 0.5000 0.5000 0.5000 (multiplicity 1)  2 Ag 2.31, 4 Sc 2.43

=====

(11)
Below is a PBEsol-optimized structure of Be2TcAgB, with properties calculated at the SCAN level.

## Properties
Energy   -15.59 eV/atom
Density   5610 kg/m3
Magnetization   0.000 μB per atom
Calculated formation energy   0.92 eV/atom
Crystal system   tetragonal

Lattice parameters (Å, degrees): 4.1815 4.1815 3.9732 90.00 90.00 90.00
With the nearest neighbours (Å) after each atom.
Space group P4/mmm (No. 123)
One atom of each set of equivalent atoms:
Be 0.0000 0.5000 0.0000 (multiplicity 2)  2 Tc 2.09
Tc 0.0000 0.0000 0.0000 (multiplicity 1)  2 B 1.99, 4 Be 2.09
Ag 0.5000 0.5000 0.5000 (multiplicity 1)  8 Be 2.88, 4 B 2.96
B 0.0000 0.0000 0.5000 (multiplicity 1)  2 Tc 1.99

=====

(12)
Below is a PBEsol-optimized structure of Ag2BiB2, with properties calculated at the SCAN level.

## Properties
Energy   -30.46 eV/atom
Density   9853 kg/m3
Magnetization   0.000 μB per atom
Calculated formation energy   0.78 eV/atom
Crystal system   tetragonal

Lattice parameters (Å, degrees): 3.9301 3.9301 9.7403 90.00 90.00 90.00
With the nearest neighbours (Å) after each atom.
Space group I4/mmm (No. 139)
One atom of each set of equivalent atoms:
Ag 0.0000 0.5000 0.2500 (multiplicity 4)  4 B 2.55, 4 Ag 2.78
Bi 0.0000 0.0000 0.0000 (multiplicity 2)  8 B 2.89, 8 Ag 3.13
B 0.0000 0.0000 0.4168 (multiplicity 4)  1 B 1.62

=====

(13)
Below is a PBEsol-optimized structure of Ag2BiB, with properties calculated at the SCAN level.

## Properties
Energy   -36.39 eV/atom
Density   8776 kg/m3
Magnetization   0.000 μB per atom
Calculated formation energy   0.80 eV/atom
Crystal system   tetragonal

Lattice parameters (Å, degrees): 4.8719 4.8719 13.8872 90.00 90.00 90.00
With the nearest neighbours (Å) after each atom.
Space group I-42d (No. 122)
One atom of each set of equivalent atoms:
Ag 0.1089 0.2500 0.1250 (multiplicity 8)  2 B 2.19
Bi 0.0000 0.0000 0.5000 (multiplicity 4)  4 Ag 2.85
B 0.0000 0.0000 0.0000 (multiplicity 4)  4 Ag 2.19